Density functional theory data (PBE-GGA) for a relaxed CrGeH2 crystal.

Lattice parameters (Å, degrees): 5.3292 5.3292 5.3292 90.00 90.00 90.00
With the nearest neighbours (Å) after each atom.
Positions (direct):
Cr 0.0000 0.0000 0.0000  8 H 2.31
Cr 0.0000 0.5000 0.5000  8 H 2.31
Cr 0.5000 0.0000 0.5000  8 H 2.31
Cr 0.5000 0.5000 0.0000  8 H 2.31
Ge 0.0000 0.0000 0.5000  8 H 2.31
Ge 0.0000 0.5000 0.0000  8 H 2.31
Ge 0.5000 0.0000 0.0000  8 H 2.31
Ge 0.5000 0.5000 0.5000  8 H 2.31
H 0.2500 0.2500 0.2500  4 Ge 2.31, 4 Cr 2.31
H 0.2500 0.2500 0.7500  4 Cr 2.31, 4 Ge 2.31
H 0.2500 0.7500 0.2500  4 Cr 2.31, 4 Ge 2.31
H 0.2500 0.7500 0.7500  4 Ge 2.31, 4 Cr 2.31
H 0.7500 0.2500 0.2500  4 Cr 2.31, 4 Ge 2.31
H 0.7500 0.2500 0.7500  4 Ge 2.31, 4 Cr 2.31
H 0.7500 0.7500 0.2500  4 Ge 2.31, 4 Cr 2.31
H 0.7500 0.7500 0.7500  4 Cr 2.31, 4 Ge 2.31

Results
Energy above the most stable polymorph in this dataset = 379 meV per atom
E_tot = -4.511 eV per atom
Mass density = 5.56 g cm⁻³